A relaxed CaOsNF2 crystal. Source: the Alexandria database, functional PBE.

As for the density: 5.52 g/cm3. As for the total moment: 4.47 μB per formula unit. The value obtained for the excess energy over the best structure of this formula in the dataset is 976 meV per atom. For the formation energy from raw total energies, the calculation gives -4.5 kJ/mol of atoms.

abc: 4.043 4.043 5.196
angles: 90.00 90.00 90.00
Element x y z (fractional)
Ca 0.000 0.000 0.000
Os 0.500 0.500 0.500
N 0.000 0.000 0.500
F 0.000 0.500 0.000
F 0.500 0.000 0.000